VASP calculation (PBE-GGA) on crystalline Ac4Cd2Ru at its relaxed geometry.

```
Ac4Cd2Ru
1.0
-2.803 2.803 8.418
2.803 -2.803 8.418
2.803 2.803 -8.418
Ac Cd Ru
4 2 1
direct
0.000 0.500 0.500
0.178 0.178 0.000
0.500 0.000 0.500
0.822 0.822 0.000
0.374 0.374 0.000
0.626 0.626 0.000
0.000 0.000 0.000
```

Properties
Formation energy = -0.131 eV/atom
Calculated total energy = -4.07 eV/atom
Calculated volume = 37.78 A^3/atom
Space-group type = I4/mmm (139)